# 1
Density functional theory data (PBE) for RbMn2AgSe after structural relaxation.

Structure (POSCAR):
```
RbMn2AgSe
1.0
4.538 0.000 0.000
0.000 5.572 0.000
0.000 0.000 4.538
Se Mn Rb Ag
1 2 1 1
Direct
0.500 0.500 0.500
0.500 0.000 0.000
0.000 0.000 0.500
0.000 0.000 0.000
0.000 0.500 0.000
```

ΔE_f (raw)	2.63	eV per atom
space-group type	P4/mmm (123)
D(E_F)	1.5325	states/eV per atom

=====

# 2
Density functional theory data (PBE) for RbMnAgSe2 after structural relaxation.

Structure (POSCAR):
```
RbMnAgSe2
1.0
6.326 0.000 0.000
0.000 6.303 0.000
0.000 -3.151 7.245
Se Mn Ag Rb
4 2 2 2
Direct
0.699 0.888 0.776
0.301 0.388 0.776
0.301 0.112 0.224
0.699 0.612 0.224
0.500 0.250 0.000
0.500 0.750 0.000
0.000 0.000 0.000
0.000 0.500 0.000
0.765 0.250 0.500
0.235 0.750 0.500
```

ΔE_f (raw)	-0.61	eV per atom
space-group type	Cmme (67)

=====

# 3
Density functional theory data (PBE) for RbMnAgSe3 after structural relaxation.

Structure (POSCAR):
```
RbMnAgSe3
1.0
6.841 0.000 0.000
0.000 6.998 0.000
0.000 -3.499 6.880
Rb Se Ag Mn
2 6 2 2
Direct
0.250 0.754 0.508
0.750 0.246 0.492
0.250 0.227 0.455
0.750 0.773 0.545
0.500 0.232 0.000
0.500 0.768 0.000
0.000 0.232 0.000
0.000 0.768 0.000
0.750 0.583 0.166
0.250 0.417 0.834
0.250 0.057 0.114
0.750 0.943 0.886
```

ΔE_f (raw)	-0.52	eV per atom
space-group type	Cmcm (63)
D(E_F)	0.5392	states/eV per atom

=====

# 4
Density functional theory data (PBE) for Rb2MnAgSe4 after structural relaxation.

Structure (POSCAR):
```
Rb2MnAgSe4
1.0
6.061 0.000 0.000
3.030 6.981 0.000
3.030 0.000 11.912
Rb Se Mn Ag
4 8 2 2
Direct
0.931 0.500 0.137
0.181 0.000 0.637
0.569 0.500 0.863
0.819 0.000 0.363
0.417 0.693 0.384
0.890 0.693 0.616
0.551 0.193 0.116
0.256 0.193 0.884
0.860 0.807 0.884
0.333 0.807 0.116
0.199 0.307 0.384
0.494 0.307 0.616
0.500 0.000 0.000
0.250 0.500 0.500
0.000 0.000 0.000
0.750 0.500 0.500
```

ΔE_f (raw)	-0.65	eV per atom
space-group type	Fddd (70)
D(E_F)	0.1619	states/eV per atom

=====

# 5
Density functional theory data (PBE) for RbMnSi2Ag after structural relaxation.

Structure (POSCAR):
```
RbMnSi2Ag
1.0
-2.086 1.823 -3.530
4.029 -1.664 -3.240
-2.169 -3.863 -0.714
Ag Mn Si Rb
1 1 2 1
Direct
0.000 0.500 0.000
0.000 0.000 0.000
0.500 0.000 0.000
0.000 0.000 0.500
0.500 0.500 0.500
```

ΔE_f (raw)	0.26	eV per atom
space-group type	P4/mmm (123)
D(E_F)	0.3825	states/eV per atom

=====

# 6
Density functional theory data (PBE) for RbMn2ZnAg after structural relaxation.

Structure (POSCAR):
```
RbMn2ZnAg
1.0
-5.505 1.377 2.916
-2.754 -4.711 -2.974
1.551 -3.927 4.783
Rb Zn Mn Ag
1 1 2 1
Direct
0.000 0.000 0.000
0.000 0.500 0.000
0.000 0.000 0.500
0.500 0.000 0.000
0.500 0.500 0.500
```

ΔE_f	9.555	eV per formula unit
space-group type	P4/mmm (123)
D(E_F)	0.8393	states/eV per atom

=====

# 7
Density functional theory data (PBE) for MnRe2Ag after structural relaxation.

Structure (POSCAR):
```
MnRe2Ag
1.0
-4.358 3.297 0.630
-3.682 0.841 -4.000
2.588 -3.408 3.457
Ag Re Mn
1 2 1
Direct
0.750 0.250 0.500
0.032 0.032 0.000
0.468 0.468 0.000
0.250 0.750 0.500
```

ΔE_f	1.853	eV per formula unit
space-group type	Immm (71)
D(E_F)	1.0330	states/eV per atom
offset from the most stable computed form	0.182	eV per atom

=====

# 8
Density functional theory data (PBE) for MnRe2Ag after structural relaxation.

Structure (POSCAR):
```
MnRe2Ag
1.0
3.829 0.000 0.000
0.000 2.723 0.010
0.000 2.718 5.635
Mn Ag Re
1 1 2
Direct
0.500 0.750 0.750
0.500 0.250 0.250
0.000 0.039 0.965
0.000 0.461 0.535
```

ΔE_f	1.848	eV per formula unit
space-group type	P2/m (10)
D(E_F)	0.7759	states/eV per atom
offset from the most stable computed form	0.181	eV per atom

=====

# 9
Density functional theory data (PBE) for Mn2ReAg after structural relaxation.

Structure (POSCAR):
```
Mn2ReAg
1.0
2.708 0.033 0.000
-0.845 2.574 0.000
0.000 0.000 8.471
Ag Mn Re
1 2 1
Direct
0.500 0.500 0.750
0.000 0.000 0.016
0.000 0.000 0.484
0.500 0.500 0.250
```

ΔE_f	1.218	eV per formula unit
space-group type	Cmmm (65)
D(E_F)	0.8638	states/eV per atom
offset from the most stable computed form	0.045	eV per atom

=====

# 10
Density functional theory data (PBE) for MnRe2Ag after structural relaxation.

Structure (POSCAR):
```
MnRe2Ag
1.0
4.966 0.013 0.000
-2.041 4.528 0.000
0.000 0.000 2.637
Ag Re Mn
1 2 1
Direct
0.500 0.000 0.500
0.500 0.500 0.000
0.000 0.000 0.000
0.000 0.500 0.500
```

ΔE_f	2.211	eV per formula unit
space-group type	Cmmm (65)
D(E_F)	0.8770	states/eV per atom
offset from the most stable computed form	0.271	eV per atom

=====

# 11
Density functional theory data (PBE) for MnRe2Ag after structural relaxation.

Structure (POSCAR):
```
MnRe2Ag
1.0
-3.427 7.574 4.073
-4.111 5.689 6.036
-1.555 6.847 6.033
Re Mn Ag
2 1 1
Direct
0.256 0.256 0.256
0.000 0.000 0.000
0.746 0.746 0.746
0.498 0.498 0.498
```

ΔE_f	1.126	eV per formula unit
space-group type	R3m (160)
D(E_F)	0.5829	states/eV per atom
offset from the most stable computed form	0.000	eV per atom

=====

# 12
Density functional theory data (PBE) for MnRe2Ag after structural relaxation.

Structure (POSCAR):
```
MnRe2Ag
1.0
2.700 0.000 0.000
0.000 2.700 0.000
0.000 0.000 7.980
Mn Re Ag
1 2 1
Direct
0.500 0.500 0.750
0.000 0.000 0.533
0.000 0.000 0.967
0.500 0.500 0.250
```

ΔE_f	1.588	eV per formula unit
space-group type	P4/mmm (123)
D(E_F)	1.1521	states/eV per atom
offset from the most stable computed form	0.116	eV per atom

=====

# 13
Density functional theory data (PBE) for Mn2ReAg after structural relaxation.

Structure (POSCAR):
```
Mn2ReAg
1.0
-2.945 2.218 -1.265
-0.472 -1.749 -1.967
-4.006 -4.675 1.129
Re Mn Ag
1 2 1
Direct
0.000 0.572 0.468
0.000 0.969 0.016
0.500 0.210 0.257
0.500 0.749 0.759
```

ΔE_f	1.537	eV per formula unit
space-group type	Pm (6)
D(E_F)	0.9928	states/eV per atom
offset from the most stable computed form	0.125	eV per atom

=====

# 14
Density functional theory data (PBE) for Mn2ReAg after structural relaxation.

Structure (POSCAR):
```
Mn2ReAg
1.0
-0.321 -4.024 2.572
1.163 -4.630 0.349
3.939 0.408 2.518
Ag Re Mn
1 1 2
Direct
0.251 0.251 0.228
0.497 0.497 0.536
0.751 0.751 0.725
0.002 0.002 0.012
```

ΔE_f	1.765	eV per formula unit
space-group type	Cm (8)
D(E_F)	1.2516	states/eV per atom
offset from the most stable computed form	0.182	eV per atom

=====

| no. | raw total energy (eV for the cell shown) |
| --- | --- |
| 1 | -12.5 |
| 2 | -46.1 |
| 3 | -53.1 |
| 4 | -66.2 |
| 5 | -22.5 |
| 6 | -13.9 |
| 7 | -35.1 |
| 8 | -35.1 |
| 9 | -32.4 |
| 10 | -34.7 |
| 11 | -35.8 |
| 12 | -35.3 |
| 13 | -32.1 |
| 14 | -31.9 |